# LiMgIr2

A relaxed structure of LiMgIr2 (GGA-PBE, the Alexandria database).

abc: 9.4132 9.4132 9.4132
angles: 17.02 17.02 17.02
With the nearest neighbours (Å) after each atom.
Element x y z (fractional)
Ir1 0.9967 0.9967 0.9967  9 Ir 2.71-2.79, 3 Mg 2.76
Ir2 0.2514 0.2514 0.2514  3 Li 2.68, 9 Ir 2.71-2.79
Li1 0.5078 0.5078 0.5078  3 Ir 2.68, 6 Li 2.79
Mg1 0.7440 0.7440 0.7440  3 Ir 2.76, 6 Mg 2.79

Calculated values
Volume = 62.4 Å³ per cell
Formation energy from the elements = 0.00 eV per atom
Symmetry = R3m, No. 160
M_tot = 0.0 μB per formula unit
Uncorrected energy = -5.307 eV/atom